Entry 1:
Entry from Alexandria: a relaxed structure of Y2AgH (PBE-GGA).

The calculation puts the density of states at the Fermi level at 12.080 states/eV per cell. The calculation puts the total energy at -75.48 eV/cell. As for the energy above the most stable polymorph in this dataset: 329 meV/atom. As for the volume: 346.0 Å³/cell.

It has space group Fm-3m (No. 225), with a = 7.020 Å, b = 7.020 Å, c = 7.020 Å, α = 90.00°, β = 90.00° and γ = 90.00°. The inequivalent atoms are Y at (0.250, 0.250, 0.250), Ag at (0.000, 0.000, 0.000) and H at (0.000, 0.000, 0.500).

***

Entry 2:
Entry from Alexandria: a relaxed structure of Ca2ThOsN4 (PBE-GGA).

The calculation puts the density of states at the Fermi level at 8.942 states/eV per cell. As for the energy relative to the elements, uncorrected: -629 meV/atom. The calculation puts the total energy at -243.94 eV/cell. As for the volume: 480.4 Å³/cell.

It has space group Cmcm (No. 63), with a = 3.498 Å, b = 11.599 Å, c = 11.840 Å, α = 90.00°, β = 90.00° and γ = 90.00°. The inequivalent atoms are Ca at (0.000, 0.130, 0.038), Th at (0.000, 0.384, 0.250), Os at (0.000, 0.352, 0.750), N at (0.000, 0.068, 0.250), N at (0.000, 0.226, 0.639) and N at (0.000, 0.500, 0.000).

***

Entry 3:
Entry from Alexandria: a relaxed structure of PmPrSnI (PBE-GGA).

The calculation puts the density of states at the Fermi level at 15.346 states/eV per cell. As for the energy relative to the elements, uncorrected: -734 meV/atom. The calculation puts the total energy at -72.08 eV/cell. As for the volume: 485.9 Å³/cell.

It has space group F-43m (No. 216), with a = 7.862 Å, b = 7.862 Å, c = 7.862 Å, α = 90.00°, β = 90.00° and γ = 90.00°. The inequivalent atoms are Pm at (0.000, 0.000, 0.000), Pr at (0.000, 0.000, 0.500), Sn at (0.250, 0.250, 0.250) and I at (0.250, 0.250, 0.750).

***

Entry 4:
Entry from Alexandria: a relaxed structure of CeHoInRh (PBE-GGA).

The calculation puts the density of states at the Fermi level at 26.879 states/eV per cell. The calculation puts the total energy at -89.49 eV/cell. As for the formation energy: -442.7 meV per atom. As for the volume: 384.5 Å³/cell.

It has space group F-43m (No. 216), with a = 7.271 Å, b = 7.271 Å, c = 7.271 Å, α = 90.00°, β = 90.00° and γ = 90.00°. The inequivalent atoms are Ce at (0.000, 0.000, 0.000), Ho at (0.000, 0.000, 0.500), In at (0.250, 0.250, 0.750) and Rh at (0.250, 0.250, 0.250).

***

Entry 5:
Entry from Alexandria: a relaxed structure of CeTlGa2 (PBE-GGA).

The calculation puts the density of states at the Fermi level at 22.002 states/eV per cell. The calculation puts the total energy at -60.86 eV/cell. As for the energy above the most stable polymorph in this dataset: 147 meV/atom. As for the formation energy: -215.3 meV per atom. As for the volume: 373.0 Å³/cell.

It has space group Fm-3m (No. 225), with a = 7.199 Å, b = 7.199 Å, c = 7.199 Å, α = 90.00°, β = 90.00° and γ = 90.00°. The inequivalent atoms are Ce at (0.000, 0.000, 0.000), Tl at (0.000, 0.000, 0.500) and Ga at (0.250, 0.250, 0.250).

***

Entry 6:
Entry from Alexandria: a relaxed structure of LiLuPt (PBE-GGA).

The calculation puts the density of states at the Fermi level at 4.190 states/eV per cell. The calculation puts the total energy at -59.24 eV/cell. As for the energy above the most stable polymorph in this dataset: 0 meV/atom. As for the formation energy: -777.8 meV per atom. As for the volume: 262.2 Å³/cell.

It has space group F-43m (No. 216), with a = 6.400 Å, b = 6.400 Å, c = 6.400 Å, α = 90.00°, β = 90.00° and γ = 90.00°. The inequivalent atoms are Li at (0.000, 0.000, 0.000), Lu at (0.000, 0.000, 0.500) and Pt at (0.250, 0.250, 0.750).

***

Please write out number 5 again, unchanged.
Entry from Alexandria: a relaxed structure of CeTlGa2 (PBE-GGA).

The calculation puts the density of states at the Fermi level at 22.002 states/eV per cell. The calculation puts the total energy at -60.86 eV/cell. As for the energy above the most stable polymorph in this dataset: 147 meV/atom. As for the formation energy: -215.3 meV per atom. As for the volume: 373.0 Å³/cell.

It has space group Fm-3m (No. 225), with a = 7.199 Å, b = 7.199 Å, c = 7.199 Å, α = 90.00°, β = 90.00° and γ = 90.00°. The inequivalent atoms are Ce at (0.000, 0.000, 0.000), Tl at (0.000, 0.000, 0.500) and Ga at (0.250, 0.250, 0.250).